# MgIr2OsS, relaxed, DFT PBE-GGA
data_MgIr2OsS
_chemical_formula_sum 'Mg1 Ir2 Os1 S1'
_space_group_name_H-M_alt 'P 4/m m m'
_space_group_IT_number 123
_space_group_name_Hall '-P 4 2'
_cell_length_a 4.508
_cell_length_b 4.508
_cell_length_c 4.334
_cell_angle_alpha 90.00
_cell_angle_beta 90.00
_cell_angle_gamma 90.00
loop_
_atom_site_label
_atom_site_type_symbol
_atom_site_fract_x
_atom_site_fract_y
_atom_site_fract_z
Mg1 Mg 0.000 0.000 0.000
Ir1 Ir 0.000 0.500 0.000
Os1 Os 0.500 0.500 0.500
S1 S 0.000 0.000 0.500
# Fermi-level density of states: 1.97 states/eV/atom
# ΔE_f (raw): 2.072 eV/atom
# raw total energy: -4.8626 eV/atom

***

# LaPmPrZn, relaxed, DFT PBE-GGA
data_LaPmPrZn
_chemical_formula_sum 'La1 Pm1 Pr1 Zn1'
_space_group_name_H-M_alt 'P 4 m m'
_space_group_IT_number 99
_space_group_name_Hall 'P 4 -2'
_cell_length_a 3.718
_cell_length_b 3.718
_cell_length_c 8.911
_cell_angle_alpha 90.00
_cell_angle_beta 90.00
_cell_angle_gamma 90.00
loop_
_atom_site_label
_atom_site_type_symbol
_atom_site_fract_x
_atom_site_fract_y
_atom_site_fract_z
La1 La 0.000 0.000 0.000
Pm1 Pm 0.000 0.000 0.588
Pr1 Pr 0.500 0.500 0.300
Zn1 Zn 0.500 0.500 0.783
# Fermi-level density of states: 1.15 states/eV/atom
# polymorph energy (0 for the lowest one): 0 meV per atom
# raw total energy: -4.0851 eV/atom

***

# AlZn2Tc, relaxed, DFT PBE-GGA
data_AlZn2Tc
_chemical_formula_sum 'Al1 Zn2 Tc1'
_space_group_name_H-M_alt 'P 4/m m m'
_space_group_IT_number 123
_space_group_name_Hall '-P 4 2'
_cell_length_a 3.353
_cell_length_b 3.353
_cell_length_c 5.272
_cell_angle_alpha 90.00
_cell_angle_beta 90.00
_cell_angle_gamma 90.00
loop_
_atom_site_label
_atom_site_type_symbol
_atom_site_fract_x
_atom_site_fract_y
_atom_site_fract_z
Al1 Al 0.000 0.000 0.000
Zn1 Zn 0.500 0.500 0.260
Tc1 Tc 0.000 0.000 0.500
# Fermi-level density of states: 0.91 states/eV/atom
# raw total energy: -4.1008 eV/atom

***

# Li2Tm3In3Pd, relaxed, DFT PBE-GGA
data_Li2Tm3In3Pd
_chemical_formula_sum 'Li2 Tm3 In3 Pd1'
_space_group_name_H-M_alt 'P -6 2 m'
_space_group_IT_number 189
_space_group_name_Hall 'P -6 -2'
_cell_length_a 8.4021
_cell_length_b 8.4021
_cell_length_c 3.3457
_cell_angle_alpha 90.00
_cell_angle_beta 90.00
_cell_angle_gamma 120.00
loop_
_atom_site_label
_atom_site_type_symbol
_atom_site_fract_x
_atom_site_fract_y
_atom_site_fract_z
Li1 Li 0.3333 0.6667 0.0000
Tm1 Tm 0.0000 0.2688 0.0000
In1 In 0.0000 0.6111 0.5000
Pd1 Pd 0.0000 0.0000 0.5000
# Fermi-level density of states: 0.56 states/eV/atom
# raw total energy: -3.8684 eV/atom

***

# CaFeOs, relaxed, DFT PBE-GGA
data_CaFeOs
_chemical_formula_sum 'Ca2 Fe2 Os2'
_space_group_name_H-M_alt 'P 1 21/m 1'
_space_group_IT_number 11
_space_group_name_Hall '-P 2yb'
_cell_length_a 3.036
_cell_length_b 3.032
_cell_length_c 12.013
_cell_angle_alpha 90.00
_cell_angle_beta 90.06
_cell_angle_gamma 90.00
loop_
_atom_site_label
_atom_site_type_symbol
_atom_site_fract_x
_atom_site_fract_y
_atom_site_fract_z
Ca1 Ca 0.248 0.250 0.150
Fe1 Fe 0.250 0.250 0.440
Os1 Os 0.251 0.250 0.669
# Fermi-level density of states: 0.83 states/eV/atom
# polymorph energy (0 for the lowest one): 165 meV per atom
# raw total energy: -6.9295 eV/atom

***

# NaBiOs2Ru, relaxed, DFT PBE-GGA
data_NaBiOs2Ru
_chemical_formula_sum 'Na1 Bi1 Os2 Ru1'
_space_group_name_H-M_alt 'P 4/m m m'
_space_group_IT_number 123
_space_group_name_Hall '-P 4 2'
_cell_length_a 4.563
_cell_length_b 4.563
_cell_length_c 4.769
_cell_angle_alpha 90.00
_cell_angle_beta 90.00
_cell_angle_gamma 90.00
loop_
_atom_site_label
_atom_site_type_symbol
_atom_site_fract_x
_atom_site_fract_y
_atom_site_fract_z
Na1 Na 0.000 0.000 0.000
Bi1 Bi 0.000 0.000 0.500
Os1 Os 0.000 0.500 0.000
Ru1 Ru 0.500 0.500 0.500
# Fermi-level density of states: 1.62 states/eV/atom
# raw total energy: -4.5713 eV/atom

***

# Eu2BiBr, relaxed, DFT PBE-GGA
data_Eu2BiBr
_chemical_formula_sum 'Eu6 Bi3 Br3'
_space_group_name_H-M_alt 'R -3 m'
_space_group_IT_number 166
_space_group_name_Hall '-R 3 2"'
_cell_length_a 4.7386
_cell_length_b 4.7386
_cell_length_c 21.8286
_cell_angle_alpha 90.00
_cell_angle_beta 90.00
_cell_angle_gamma 120.00
loop_
_atom_site_label
_atom_site_type_symbol
_atom_site_fract_x
_atom_site_fract_y
_atom_site_fract_z
Eu1 Eu 0.0000 0.0000 0.2468
Bi1 Bi 0.0000 0.0000 0.5000
Br1 Br 0.0000 0.0000 0.0000
# Fermi-level density of states: 5.98 states/eV/atom
# polymorph energy (0 for the lowest one): 0 meV per atom
# ΔE_f (raw): -1.262 eV/atom
# raw total energy: -7.7872 eV/atom

***

# Rb2VAu, relaxed, DFT PBE-GGA
data_Rb2VAu
_chemical_formula_sum 'Rb8 V4 Au4'
_space_group_name_H-M_alt 'F m -3 m'
_space_group_IT_number 225
_space_group_name_Hall '-F 4 2 3'
_cell_length_a 8.516
_cell_length_b 8.516
_cell_length_c 8.516
_cell_angle_alpha 90.00
_cell_angle_beta 90.00
_cell_angle_gamma 90.00
loop_
_atom_site_label
_atom_site_type_symbol
_atom_site_fract_x
_atom_site_fract_y
_atom_site_fract_z
Rb1 Rb 0.250 0.250 0.250
V1 V 0.000 0.000 0.000
Au1 Au 0.000 0.000 0.500
# Fermi-level density of states: 1.82 states/eV/atom
# polymorph energy (0 for the lowest one): 243 meV per atom
# raw total energy: -2.7527 eV/atom

***

# Li2ScSb, relaxed, DFT PBE-GGA
data_Li2ScSb
_chemical_formula_sum 'Li4 Sc2 Sb2'
_space_group_name_H-M_alt 'C 1 2/m 1'
_space_group_IT_number 12
_space_group_name_Hall '-C 2y'
_cell_length_a 5.883
_cell_length_b 10.851
_cell_length_c 3.185
_cell_angle_alpha 90.00
_cell_angle_beta 120.52
_cell_angle_gamma 90.00
loop_
_atom_site_label
_atom_site_type_symbol
_atom_site_fract_x
_atom_site_fract_y
_atom_site_fract_z
Li1 Li 0.250 0.250 0.000
Sc1 Sc 0.000 0.000 0.500
Sb1 Sb 0.000 0.500 0.500
# Fermi-level density of states: 0.76 states/eV/atom
# ΔE_f (raw): -0.253 eV/atom
# raw total energy: -3.8237 eV/atom

***

# CeSc2Ir, relaxed, DFT PBE-GGA
data_CeSc2Ir
_chemical_formula_sum 'Ce1 Sc2 Ir1'
_space_group_name_H-M_alt 'P 4/m m m'
_space_group_IT_number 123
_space_group_name_Hall '-P 4 2'
_cell_length_a 3.224
_cell_length_b 3.224
_cell_length_c 8.393
_cell_angle_alpha 90.00
_cell_angle_beta 90.00
_cell_angle_gamma 90.00
loop_
_atom_site_label
_atom_site_type_symbol
_atom_site_fract_x
_atom_site_fract_y
_atom_site_fract_z
Ce1 Ce 0.000 0.000 0.000
Sc1 Sc 0.500 0.500 0.309
Ir1 Ir 0.000 0.000 0.500
# Fermi-level density of states: 1.45 states/eV/atom
# polymorph energy (0 for the lowest one): 34 meV per atom
# raw total energy: -7.3566 eV/atom

***

# Ga2PAuBr, relaxed, DFT PBE-GGA
data_Ga2PAuBr
_chemical_formula_sum 'Ga2 P1 Au1 Br1'
_space_group_name_H-M_alt 'P 4/m m m'
_space_group_IT_number 123
_space_group_name_Hall '-P 4 2'
_cell_length_a 5.573
_cell_length_b 5.573
_cell_length_c 4.851
_cell_angle_alpha 90.00
_cell_angle_beta 90.00
_cell_angle_gamma 90.00
loop_
_atom_site_label
_atom_site_type_symbol
_atom_site_fract_x
_atom_site_fract_y
_atom_site_fract_z
Ga1 Ga 0.000 0.500 0.000
P1 P 0.000 0.000 0.500
Au1 Au 0.500 0.500 0.500
Br1 Br 0.000 0.000 0.000
# Fermi-level density of states: 0.66 states/eV/atom
# ΔE_f (raw): 0.844 eV/atom
# raw total energy: -2.4385 eV/atom

***

# KAsO3, relaxed, DFT PBE-GGA
data_KAsO3
_chemical_formula_sum 'K12 As12 O36'
_space_group_name_H-M_alt 'C 1 2/c 1'
_space_group_IT_number 15
_space_group_name_Hall '-C 2yc'
_cell_length_a 13.382
_cell_length_b 7.779
_cell_length_c 12.084
_cell_angle_alpha 90.00
_cell_angle_beta 110.65
_cell_angle_gamma 90.00
loop_
_atom_site_label
_atom_site_type_symbol
_atom_site_fract_x
_atom_site_fract_y
_atom_site_fract_z
K1 K 0.090 0.232 0.499
K2 K 0.250 0.250 0.000
As1 As 0.000 0.170 0.750
As2 As 0.123 0.458 0.246
O1 O 0.000 0.368 0.250
O2 O 0.044 0.073 0.881
O3 O 0.107 0.311 0.747
O4 O 0.128 0.410 0.113
O5 O 0.216 0.409 0.376
# Fermi-level density of states: 0.00 states/eV/atom
# ΔE_f (raw): -1.512 eV/atom
# raw total energy: -5.6362 eV/atom

***

# DyZrSc, relaxed, DFT PBE-GGA
data_DyZrSc
_chemical_formula_sum 'Dy4 Zr4 Sc4'
_space_group_name_H-M_alt 'I m m m'
_space_group_IT_number 71
_space_group_name_Hall '-I 2 2'
_cell_length_a 5.190
_cell_length_b 6.532
_cell_length_c 9.063
_cell_angle_alpha 90.00
_cell_angle_beta 90.00
_cell_angle_gamma 90.00
loop_
_atom_site_label
_atom_site_type_symbol
_atom_site_fract_x
_atom_site_fract_y
_atom_site_fract_z
Dy1 Dy 0.000 0.000 0.172
Zr1 Zr 0.000 0.244 0.500
Sc1 Sc 0.000 0.500 0.160
# Fermi-level density of states: 1.66 states/eV/atom
# polymorph energy (0 for the lowest one): 81 meV per atom
# raw total energy: -6.3920 eV/atom

***

# Sc2TlMo, relaxed, DFT PBE-GGA
data_Sc2TlMo
_chemical_formula_sum 'Sc2 Tl1 Mo1'
_space_group_name_H-M_alt 'P m m 2'
_space_group_IT_number 25
_space_group_name_Hall 'P 2 -2'
_cell_length_a 3.083
_cell_length_b 4.551
_cell_length_c 5.976
_cell_angle_alpha 90.00
_cell_angle_beta 90.00
_cell_angle_gamma 90.00
loop_
_atom_site_label
_atom_site_type_symbol
_atom_site_fract_x
_atom_site_fract_y
_atom_site_fract_z
Sc1 Sc 0.000 0.000 0.000
Sc2 Sc 0.500 0.500 0.279
Tl1 Tl 0.000 0.000 0.519
Mo1 Mo 0.500 0.500 0.803
# Fermi-level density of states: 1.05 states/eV/atom
# polymorph energy (0 for the lowest one): 249 meV per atom
# raw total energy: -6.2788 eV/atom

***

# Tb2Dy3NpN6, relaxed, DFT PBE-GGA
data_Tb2Dy3NpN6
_chemical_formula_sum 'Tb4 Dy6 Np2 N12'
_space_group_name_H-M_alt 'C 1 2/m 1'
_space_group_IT_number 12
_space_group_name_Hall '-C 2y'
_cell_length_a 6.005
_cell_length_b 10.405
_cell_length_c 5.997
_cell_angle_alpha 90.00
_cell_angle_beta 109.47
_cell_angle_gamma 90.00
loop_
_atom_site_label
_atom_site_type_symbol
_atom_site_fract_x
_atom_site_fract_y
_atom_site_fract_z
Tb1 Tb 0.000 0.167 0.000
Dy1 Dy 0.000 0.000 0.500
Dy2 Dy 0.000 0.332 0.500
Np1 Np 0.000 0.500 0.000
N1 N 0.236 0.500 0.759
N2 N 0.240 0.341 0.244
# Fermi-level density of states: 0.61 states/eV/atom
# ΔE_f (raw): -1.602 eV/atom
# raw total energy: -8.7657 eV/atom

***

# As2PW, relaxed, DFT PBE-GGA
data_As2PW
_chemical_formula_sum 'As4 P2 W2'
_space_group_name_H-M_alt 'I -4 m 2'
_space_group_IT_number 119
_space_group_name_Hall 'I -4 -2'
_cell_length_a 4.492
_cell_length_b 4.492
_cell_length_c 6.296
_cell_angle_alpha 90.00
_cell_angle_beta 90.00
_cell_angle_gamma 90.00
loop_
_atom_site_label
_atom_site_type_symbol
_atom_site_fract_x
_atom_site_fract_y
_atom_site_fract_z
As1 As 0.000 0.000 0.000
As2 As 0.000 0.500 0.250
P1 P 0.000 0.000 0.500
W1 W 0.000 0.500 0.750
# Fermi-level density of states: 0.70 states/eV/atom
# raw total energy: -6.3561 eV/atom

***

# NdGePt2, relaxed, DFT PBE-GGA
data_NdGePt2
_chemical_formula_sum 'Nd1 Ge1 Pt2'
_space_group_name_H-M_alt 'P m m m'
_space_group_IT_number 47
_space_group_name_Hall '-P 2 2'
_cell_length_a 3.895
_cell_length_b 4.100
_cell_length_c 5.535
_cell_angle_alpha 90.00
_cell_angle_beta 90.00
_cell_angle_gamma 90.00
loop_
_atom_site_label
_atom_site_type_symbol
_atom_site_fract_x
_atom_site_fract_y
_atom_site_fract_z
Nd1 Nd 0.000 0.000 0.000
Ge1 Ge 0.500 0.000 0.500
Pt1 Pt 0.500 0.500 0.244
# Fermi-level density of states: 0.56 states/eV/atom
# raw total energy: -6.1910 eV/atom

***

# HfMg2Ga2, relaxed, DFT PBE-GGA
data_HfMg2Ga2
_chemical_formula_sum 'Hf2 Mg4 Ga4'
_space_group_name_H-M_alt 'P 4/m b m'
_space_group_IT_number 127
_space_group_name_Hall '-P 4 2ab'
_cell_length_a 7.780
_cell_length_b 7.780
_cell_length_c 3.191
_cell_angle_alpha 90.00
_cell_angle_beta 90.00
_cell_angle_gamma 90.00
loop_
_atom_site_label
_atom_site_type_symbol
_atom_site_fract_x
_atom_site_fract_y
_atom_site_fract_z
Hf1 Hf 0.000 0.000 0.000
Mg1 Mg 0.152 0.348 0.500
Ga1 Ga 0.148 0.648 0.000
# Fermi-level density of states: 0.44 states/eV/atom
# polymorph energy (0 for the lowest one): 0 meV per atom
# raw total energy: -3.9598 eV/atom

***

# CrCo2Os, relaxed, DFT PBE-GGA
data_CrCo2Os
_chemical_formula_sum 'Cr2 Co4 Os2'
_space_group_name_H-M_alt 'I -4 m 2'
_space_group_IT_number 119
_space_group_name_Hall 'I -4 -2'
_cell_length_a 3.644
_cell_length_b 3.644
_cell_length_c 7.055
_cell_angle_alpha 90.00
_cell_angle_beta 90.00
_cell_angle_gamma 90.00
loop_
_atom_site_label
_atom_site_type_symbol
_atom_site_fract_x
_atom_site_fract_y
_atom_site_fract_z
Cr1 Cr 0.000 0.000 0.000
Co1 Co 0.000 0.000 0.500
Co2 Co 0.000 0.500 0.750
Os1 Os 0.000 0.500 0.250
# Fermi-level density of states: 1.36 states/eV/atom
# polymorph energy (0 for the lowest one): 56 meV per atom
# raw total energy: -8.6984 eV/atom

***

# Pr6RuCl8, relaxed, DFT PBE-GGA
data_Pr6RuCl8
_chemical_formula_sum 'Pr18 Ru3 Cl24'
_space_group_name_H-M_alt 'R -3'
_space_group_IT_number 148
_space_group_name_Hall '-R 3'
_cell_length_a 7.5804
_cell_length_b 7.5804
_cell_length_c 28.2865
_cell_angle_alpha 90.00
_cell_angle_beta 90.00
_cell_angle_gamma 120.00
loop_
_atom_site_label
_atom_site_type_symbol
_atom_site_fract_x
_atom_site_fract_y
_atom_site_fract_z
Pr1 Pr 0.0024 0.7112 0.0600
Ru1 Ru 0.0000 0.0000 0.0000
Cl1 Cl 0.0000 0.0000 0.3334
Cl2 Cl 0.0031 0.6481 0.8893
# Fermi-level density of states: 0.09 states/eV/atom
# ΔE_f (raw): -1.649 eV/atom
# raw total energy: -5.1636 eV/atom